No. 1
# BeTeBr2 (PBE, relaxed)
# DOS at the Fermi energy, states/eV/cell: 1.3
# Polymorph energy (0 for the lowest one), eV per formula unit: 2.116
# Formation energy without anion corrections, eV/atom: 0.1404
data_BeTeBr2
_chemical_formula_sum 'Be1 Te1 Br2'
_symmetry_space_group_name_H-M 'P 4/m m m'
_symmetry_Int_Tables_number 123
_symmetry_space_group_name_Hall '-P 4 2'
_cell_length_a 3.170
_cell_length_b 3.170
_cell_length_c 11.729
_cell_angle_alpha 90.00
_cell_angle_beta 90.00
_cell_angle_gamma 90.00
loop_
_atom_site_label
_atom_site_type_symbol
_atom_site_fract_x
_atom_site_fract_y
_atom_site_fract_z
Be1 Be 0.000 0.000 0.000
Te1 Te 0.000 0.000 0.500
Br1 Br 0.500 0.500 0.132


No. 2
# BeTeBr2 (PBE, relaxed)
# DOS at the Fermi energy, states/eV/cell: 18.4
# Polymorph energy (0 for the lowest one), eV per formula unit: 4.347
# Formation energy without anion corrections, eV/atom: 0.6982
data_BeTeBr2
_chemical_formula_sum 'Be4 Te4 Br8'
_symmetry_space_group_name_H-M 'F -4 3 m'
_symmetry_Int_Tables_number 216
_symmetry_space_group_name_Hall 'F -4 2 3'
_cell_length_a 7.190
_cell_length_b 7.190
_cell_length_c 7.190
_cell_angle_alpha 90.00
_cell_angle_beta 90.00
_cell_angle_gamma 90.00
loop_
_atom_site_label
_atom_site_type_symbol
_atom_site_fract_x
_atom_site_fract_y
_atom_site_fract_z
Be1 Be 0.000 0.000 0.000
Te1 Te 0.250 0.250 0.250
Br1 Br 0.000 0.000 0.500
Br2 Br 0.250 0.250 0.750


No. 3
# Be2TeBr (PBE, relaxed)
# DOS at the Fermi energy, states/eV/cell: 4.4
# Polymorph energy (0 for the lowest one), eV per formula unit: 1.468
# Formation energy without anion corrections, eV/atom: 0.2860
data_Be2TeBr
_chemical_formula_sum 'Be4 Te2 Br2'
_symmetry_space_group_name_H-M 'C m m 2'
_symmetry_Int_Tables_number 35
_cell_length_a 3.776
_cell_length_b 7.707
_cell_length_c 7.264
_cell_angle_alpha 90.00
_cell_angle_beta 90.00
_cell_angle_gamma 90.00
loop_
_symmetry_equiv_pos_as_xyz
'x,y,z'
'-x,-y,z'
'-x,y,z'
'x,-y,z'
'x+1/2,y+1/2,z'
'-x+1/2,-y+1/2,z'
'-x+1/2,y+1/2,z'
'x+1/2,-y+1/2,z'
loop_
_atom_site_label
_atom_site_type_symbol
_atom_site_fract_x
_atom_site_fract_y
_atom_site_fract_z
Be1 Be 0.000 0.000 0.000
Be2 Be 0.000 0.500 0.164
Te1 Te 0.000 0.500 0.823
Br1 Br 0.000 0.000 0.379


No. 4
# BeTeBr2 (PBE, relaxed)
# DOS at the Fermi energy, states/eV/cell: 5.9
# Polymorph energy (0 for the lowest one), eV per formula unit: 4.541
# Formation energy without anion corrections, eV/atom: 0.7467
data_BeTeBr2
_chemical_formula_sum 'Be2 Te2 Br4'
_symmetry_space_group_name_H-M 'C m m m'
_symmetry_Int_Tables_number 65
_symmetry_space_group_name_Hall '-C 2 2'
_cell_length_a 6.623
_cell_length_b 8.474
_cell_length_c 3.457
_cell_angle_alpha 90.00
_cell_angle_beta 90.00
_cell_angle_gamma 90.00
loop_
_atom_site_label
_atom_site_type_symbol
_atom_site_fract_x
_atom_site_fract_y
_atom_site_fract_z
Be1 Be 0.000 0.000 0.000
Te1 Te 0.000 0.500 0.000
Br1 Br 0.250 0.250 0.500


No. 5
# BeTe2Br (PBE, relaxed)
# DOS at the Fermi energy, states/eV/cell: 2.1
# Polymorph energy (0 for the lowest one), eV per formula unit: 1.880
# Formation energy without anion corrections, eV/atom: 0.2669
data_BeTe2Br
_chemical_formula_sum 'Be1 Te2 Br1'
_symmetry_space_group_name_H-M 'P 4 m m'
_symmetry_Int_Tables_number 99
_cell_length_a 3.142
_cell_length_b 3.142
_cell_length_c 11.113
_cell_angle_alpha 90.00
_cell_angle_beta 90.00
_cell_angle_gamma 90.00
loop_
_symmetry_equiv_pos_as_xyz
'x,y,z'
'-y,x,z'
'-x,-y,z'
'y,-x,z'
'-x,y,z'
'y,x,z'
'x,-y,z'
'-y,-x,z'
loop_
_atom_site_label
_atom_site_type_symbol
_atom_site_fract_x
_atom_site_fract_y
_atom_site_fract_z
Be1 Be 0.000 0.000 0.000
Te1 Te 0.000 0.000 0.456
Te2 Te 0.500 0.500 0.803
Br1 Br 0.500 0.500 0.111


No. 6
# BeTe2Br (PBE, relaxed)
# DOS at the Fermi energy, states/eV/cell: 3.4
# Polymorph energy (0 for the lowest one), eV per formula unit: 1.066
# Formation energy without anion corrections, eV/atom: 0.0635
data_BeTe2Br
_chemical_formula_sum 'Be2 Te4 Br2'
_symmetry_space_group_name_H-M 'C m m m'
_symmetry_Int_Tables_number 65
_symmetry_space_group_name_Hall '-C 2 2'
_cell_length_a 3.784
_cell_length_b 7.311
_cell_length_c 8.190
_cell_angle_alpha 90.00
_cell_angle_beta 90.00
_cell_angle_gamma 90.00
loop_
_atom_site_label
_atom_site_type_symbol
_atom_site_fract_x
_atom_site_fract_y
_atom_site_fract_z
Be1 Be 0.000 0.000 0.000
Te1 Te 0.000 0.500 0.187
Br1 Br 0.000 0.000 0.500


No. 7
# BeTeBr2 (PBE, relaxed)
# DOS at the Fermi energy, states/eV/cell: 4.3
# Polymorph energy (0 for the lowest one), eV per formula unit: 0.647
# Formation energy without anion corrections, eV/atom: -0.2268
data_BeTeBr2
_chemical_formula_sum 'Be2 Te2 Br4'
_symmetry_space_group_name_H-M 'C 1 2/m 1'
_symmetry_Int_Tables_number 12
_cell_length_a 13.952
_cell_length_b 3.164
_cell_length_c 7.653
_cell_angle_alpha 90.00
_cell_angle_beta 116.78
_cell_angle_gamma 90.00
loop_
_symmetry_equiv_pos_as_xyz
'x,y,z'
'-x,-y,-z'
'-x,y,-z'
'x,-y,z'
'x+1/2,y+1/2,z'
'-x+1/2,-y+1/2,-z'
'-x+1/2,y+1/2,-z'
'x+1/2,-y+1/2,z'
loop_
_atom_site_label
_atom_site_type_symbol
_atom_site_fract_x
_atom_site_fract_y
_atom_site_fract_z
Be1 Be 0.000 0.000 0.000
Te1 Te 0.000 0.500 0.500
Br1 Br 0.128 0.500 0.105


No. 8
# Be2TeBr (PBE, relaxed)
# DOS at the Fermi energy, states/eV/cell: 2.0
# Polymorph energy (0 for the lowest one), eV per formula unit: 1.792
# Formation energy without anion corrections, eV/atom: 0.3670
data_Be2TeBr
_chemical_formula_sum 'Be4 Te2 Br2'
_symmetry_space_group_name_H-M 'C m m m'
_symmetry_Int_Tables_number 65
_symmetry_space_group_name_Hall '-C 2 2'
_cell_length_a 3.577
_cell_length_b 8.297
_cell_length_c 7.056
_cell_angle_alpha 90.00
_cell_angle_beta 90.00
_cell_angle_gamma 90.00
loop_
_atom_site_label
_atom_site_type_symbol
_atom_site_fract_x
_atom_site_fract_y
_atom_site_fract_z
Be1 Be 0.000 0.000 0.236
Te1 Te 0.000 0.500 0.000
Br1 Br 0.000 0.500 0.500


No. 9
# Be2TeBr (PBE, relaxed)
# DOS at the Fermi energy, states/eV/cell: 2.1
# Polymorph energy (0 for the lowest one), eV per formula unit: 0.000
# Formation energy without anion corrections, eV/atom: -0.0811
data_Be2TeBr
_chemical_formula_sum 'Be4 Te2 Br2'
_symmetry_space_group_name_H-M 'C 1 m 1'
_symmetry_Int_Tables_number 8
_cell_length_a 8.261
_cell_length_b 3.838
_cell_length_c 6.908
_cell_angle_alpha 90.00
_cell_angle_beta 93.36
_cell_angle_gamma 90.00
loop_
_symmetry_equiv_pos_as_xyz
'x,y,z'
'x,-y,z'
'x+1/2,y+1/2,z'
'x+1/2,-y+1/2,z'
loop_
_atom_site_label
_atom_site_type_symbol
_atom_site_fract_x
_atom_site_fract_y
_atom_site_fract_z
Be1 Be 0.000 0.000 0.000
Be2 Be 0.241 0.500 0.053
Te1 Te 0.025 0.500 0.806
Br1 Br 0.187 0.000 0.251


No. 10
# BeTe3Br (PBE, relaxed)
# DOS at the Fermi energy, states/eV/cell: 3.1
# Polymorph energy (0 for the lowest one), eV per formula unit: 0.000
# Formation energy without anion corrections, eV/atom: 0.3280
data_BeTe3Br
_chemical_formula_sum 'Be1 Te3 Br1'
_symmetry_space_group_name_H-M 'P m -3 m'
_symmetry_Int_Tables_number 221
_symmetry_space_group_name_Hall '-P 4 2 3'
_cell_length_a 5.042
_cell_length_b 5.042
_cell_length_c 5.042
_cell_angle_alpha 90.00
_cell_angle_beta 90.00
_cell_angle_gamma 90.00
loop_
_atom_site_label
_atom_site_type_symbol
_atom_site_fract_x
_atom_site_fract_y
_atom_site_fract_z
Be1 Be 0.000 0.000 0.000
Te1 Te 0.000 0.000 0.500
Br1 Br 0.500 0.500 0.500


No. 11
# BeTe2Br (PBE, relaxed)
# DOS at the Fermi energy, states/eV/cell: 11.1
# Polymorph energy (0 for the lowest one), eV per formula unit: 3.428
# Formation energy without anion corrections, eV/atom: 0.6541
data_BeTe2Br
_chemical_formula_sum 'Be4 Te8 Br4'
_symmetry_space_group_name_H-M 'F m -3 m'
_symmetry_Int_Tables_number 225
_symmetry_space_group_name_Hall '-F 4 2 3'
_cell_length_a 7.180
_cell_length_b 7.180
_cell_length_c 7.180
_cell_angle_alpha 90.00
_cell_angle_beta 90.00
_cell_angle_gamma 90.00
loop_
_atom_site_label
_atom_site_type_symbol
_atom_site_fract_x
_atom_site_fract_y
_atom_site_fract_z
Be1 Be 0.000 0.000 0.000
Te1 Te 0.250 0.250 0.250
Br1 Br 0.000 0.000 0.500


No. 12
# Be2TeBr (PBE, relaxed)
# DOS at the Fermi energy, states/eV/cell: 4.7
# Polymorph energy (0 for the lowest one), eV per formula unit: 3.129
# Formation energy without anion corrections, eV/atom: 0.7011
data_Be2TeBr
_chemical_formula_sum 'Be8 Te4 Br4'
_symmetry_space_group_name_H-M 'F m -3 m'
_symmetry_Int_Tables_number 225
_symmetry_space_group_name_Hall '-F 4 2 3'
_cell_length_a 6.711
_cell_length_b 6.711
_cell_length_c 6.711
_cell_angle_alpha 90.00
_cell_angle_beta 90.00
_cell_angle_gamma 90.00
loop_
_atom_site_label
_atom_site_type_symbol
_atom_site_fract_x
_atom_site_fract_y
_atom_site_fract_z
Be1 Be 0.250 0.250 0.250
Te1 Te 0.000 0.000 0.000
Br1 Br 0.000 0.000 0.500


No. 13
# BeTeBr2 (PBE, relaxed)
# DOS at the Fermi energy, states/eV/cell: 0.8
# Polymorph energy (0 for the lowest one), eV per formula unit: 3.472
# Formation energy without anion corrections, eV/atom: 0.4794
data_BeTeBr2
_chemical_formula_sum 'Be1 Te1 Br2'
_symmetry_space_group_name_H-M 'P m m m'
_symmetry_Int_Tables_number 47
_cell_length_a 3.551
_cell_length_b 4.514
_cell_length_c 6.387
_cell_angle_alpha 90.00
_cell_angle_beta 90.00
_cell_angle_gamma 90.00
loop_
_symmetry_equiv_pos_as_xyz
'x,y,z'
'-x,-y,-z'
'-x,-y,z'
'x,y,-z'
'x,-y,-z'
'-x,y,z'
'-x,y,-z'
'x,-y,z'
loop_
_atom_site_label
_atom_site_type_symbol
_atom_site_fract_x
_atom_site_fract_y
_atom_site_fract_z
Be1 Be 0.000 0.000 0.000
Te1 Te 0.500 0.000 0.500
Br1 Br 0.000 0.500 0.500
Br2 Br 0.500 0.500 0.000


No. 14
# BeTe2Br (PBE, relaxed)
# DOS at the Fermi energy, states/eV/cell: 8.2
# Polymorph energy (0 for the lowest one), eV per formula unit: 1.345
# Formation energy without anion corrections, eV/atom: 0.1332
data_BeTe2Br
_chemical_formula_sum 'Be4 Te8 Br4'
_symmetry_space_group_name_H-M 'I -4 2 d'
_symmetry_Int_Tables_number 122
_symmetry_space_group_name_Hall 'I -4 2bw'
_cell_length_a 6.014
_cell_length_b 6.014
_cell_length_c 13.790
_cell_angle_alpha 90.00
_cell_angle_beta 90.00
_cell_angle_gamma 90.00
loop_
_atom_site_label
_atom_site_type_symbol
_atom_site_fract_x
_atom_site_fract_y
_atom_site_fract_z
Be1 Be 0.000 0.000 0.000
Te1 Te 0.127 0.250 0.125
Br1 Br 0.000 0.000 0.500


No. 15
# Be2TeBr (PBE, relaxed)
# DOS at the Fermi energy, states/eV/cell: 1.5
# Polymorph energy (0 for the lowest one), eV per formula unit: 1.136
# Formation energy without anion corrections, eV/atom: 0.2030
data_Be2TeBr
_chemical_formula_sum 'Be4 Te2 Br2'
_symmetry_space_group_name_H-M 'C 1 2/m 1'
_symmetry_Int_Tables_number 12
_cell_length_a 6.566
_cell_length_b 3.810
_cell_length_c 6.484
_cell_angle_alpha 90.00
_cell_angle_beta 109.32
_cell_angle_gamma 90.00
loop_
_symmetry_equiv_pos_as_xyz
'x,y,z'
'-x,-y,-z'
'-x,y,-z'
'x,-y,z'
'x+1/2,y+1/2,z'
'-x+1/2,-y+1/2,-z'
'-x+1/2,y+1/2,-z'
'x+1/2,-y+1/2,z'
loop_
_atom_site_label
_atom_site_type_symbol
_atom_site_fract_x
_atom_site_fract_y
_atom_site_fract_z
Be1 Be 0.239 0.000 0.224
Te1 Te 0.000 0.500 0.000
Br1 Br 0.000 0.000 0.500